This record from Alexandria describes crystalline AcTbCrO6 at its relaxed geometry. The functional is PBE+U.

Lattice parameters (Å, degrees): 5.4750 5.4750 5.2073 90.00 90.00 120.00
Space group P312 (No. 149)
One atom of each set of equivalent atoms:
Ac (0.0000, 0.0000, 0.0000) x1
Tb (0.3333, 0.6667, 0.5000) x1
Cr (0.6667, 0.3333, 0.5000) x1
O (0.3915, 0.0522, 0.7065) x6

Values from the calculation:
Uncorrected energy, eV/f.u.: -66.78
V, Å³/f.u.: 135